The following is a PBE calculation of a relaxed structure of HfMn4Fe, from the Alexandria database.

```
HfMn4Fe
1.0
0.000 3.369 3.369
3.369 0.000 3.369
3.369 3.369 0.000
Hf Mn Fe
1 4 1
Direct
0.000 0.000 0.000
0.376 0.376 0.376
0.376 0.376 0.872
0.376 0.872 0.376
0.872 0.376 0.376
0.750 0.750 0.750
```

Properties
Total energy ... -9.187 eV per atom
Crystal system ... cubic
Space group ... F-43m (216)